# SiAg2Cl, relaxed, DFT PBE
# Total moment ... 0.000 μB per formula unit
# Energy relative to the elements, uncorrected ... 264 meV/atom
# ΔE to the lowest computed polymorph ... 0.98 eV per formula unit
# DOS(E_F) ... 0.198 states/eV per atom
# Volume ... 149.0 Å³/cell
# Energy ... -2.98 eV/atom
data_SiAg2Cl
_chemical_formula_sum 'Si2 Ag4 Cl2'
_cell_length_a 5.7874
_cell_length_b 8.1838
_cell_length_c 3.1464
_cell_angle_alpha 90.00
_cell_angle_beta 90.40
_cell_angle_gamma 90.00
_symmetry_space_group_name_H-M 'P 1'
_symmetry_Int_Tables_number 1
_symmetry_space_group_name_Hall 'P 1'
loop_
_atom_site_label
_atom_site_type_symbol
_atom_site_fract_x
_atom_site_fract_y
_atom_site_fract_z
_atom_site_occupancy
Si1 Si 0.0000 0.0000 0.0000 1
Si2 Si 0.5000 0.5000 0.0000 1
Ag1 Ag 0.2500 0.2500 0.5000 1
Ag2 Ag 0.2500 0.7500 0.5000 1
Ag3 Ag 0.7500 0.2500 0.5000 1
Ag4 Ag 0.7500 0.7500 0.5000 1
Cl1 Cl 0.0000 0.5000 0.0000 1
Cl2 Cl 0.5000 0.0000 0.0000 1